Below is a relaxed structure of ThScOs, with properties calculated at the PBE-GGA level.

abc: 4.1812 4.1812 7.7998
angles: 90.00 90.00 90.00
With the nearest neighbours (Å) after each atom.
Sites, in units of the cell vectors:
Th (0.2500, 0.2500, 0.1551)  5 Os 3.04-3.13
Th (0.7500, 0.7500, 0.8449)  5 Os 3.04-3.13
Sc (0.2500, 0.7500, 0.5000)  4 Os 2.88, 4 Sc 2.96
Sc (0.7500, 0.2500, 0.5000)  4 Os 2.88, 4 Sc 2.96
Os (0.2500, 0.2500, 0.7535)  4 Sc 2.88, 5 Th 3.04-3.13
Os (0.7500, 0.7500, 0.2465)  4 Sc 2.88, 5 Th 3.04-3.13

Values from the calculation:
- spin magnetization (Bohr magnetons per cell) = 0.00
- crystal system = tetragonal
- space group = P4/nmm
- DOS(E_F) (states/eV per cell) = 7.3
- E above lowest polymorph (meV per atom) = 0.0

Below is a relaxed structure of RbTbC2O6, with properties calculated at the PBE-GGA level.

abc: 6.4843 6.4843 7.2411
angles: 104.12 104.12 94.61
With the nearest neighbours (Å) after each atom.
Sites, in units of the cell vectors:
Rb (0.1111, 0.8889, 0.7500)  8 O 2.90-3.24, 2 C 3.21
Rb (0.8889, 0.1111, 0.2500)  8 O 2.90-3.24, 2 C 3.21
Tb (0.4063, 0.5937, 0.2500)  8 O 2.32-2.53
Tb (0.5937, 0.4063, 0.7500)  8 O 2.32-2.53
C (0.1482, 0.4002, 0.7562)  3 O 1.28-1.32
C (0.4002, 0.1482, 0.2562)  3 O 1.28-1.32
C (0.5998, 0.8518, 0.7438)  3 O 1.28-1.32
C (0.8518, 0.5998, 0.2438)  3 O 1.28-1.32
O (0.0515, 0.5985, 0.2567)  1 C 1.28
O (0.2169, 0.2702, 0.6254)  1 C 1.30
O (0.2702, 0.2169, 0.1254)  1 C 1.30
O (0.2989, 0.5357, 0.9019)  1 C 1.32
O (0.4015, 0.9485, 0.2433)  1 C 1.28
O (0.4643, 0.7011, 0.5981)  1 C 1.32
O (0.5357, 0.2989, 0.4019)  1 C 1.32
O (0.5985, 0.0515, 0.7567)  1 C 1.28
O (0.7011, 0.4643, 0.0981)  1 C 1.32
O (0.7298, 0.7831, 0.8746)  1 C 1.30
O (0.7831, 0.7298, 0.3746)  1 C 1.30
O (0.9485, 0.4015, 0.7433)  1 C 1.28

Values from the calculation:
- formation energy (no corrections) (eV per atom) = -2.15
- spin magnetization (Bohr magnetons per cell) = 0.00
- crystal system = monoclinic
- space group = C2/c
- DOS(E_F) (states/eV per cell) = 0.0

Below is a relaxed structure of Rb2Na2Mg, with properties calculated at the PBE-GGA level.

abc: 11.3338 11.3338 4.3897
angles: 90.00 90.00 90.00
With the nearest neighbours (Å) after each atom.
Sites, in units of the cell vectors:
Rb (0.1851, 0.3149, 0.0000)  6 Na 3.94-4.09, 2 Mg 4.14, 2 Rb 4.39
Rb (0.3149, 0.8149, 0.0000)  6 Na 3.94-4.09, 2 Mg 4.14, 2 Rb 4.39
Rb (0.6851, 0.1851, 0.0000)  6 Na 3.94-4.09, 2 Mg 4.14, 2 Rb 4.39
Rb (0.8149, 0.6851, 0.0000)  6 Na 3.94-4.09, 2 Mg 4.14, 2 Rb 4.39
Na (0.1107, 0.6107, 0.5000)  1 Na 3.55, 2 Rb 3.94
Na (0.3893, 0.1107, 0.5000)  1 Na 3.55, 2 Rb 3.94
Na (0.6107, 0.8893, 0.5000)  1 Na 3.55, 2 Rb 3.94
Na (0.8893, 0.3893, 0.5000)  1 Na 3.55, 2 Rb 3.94
Mg (0.0000, 0.0000, 0.0000)  4 Rb 4.14, 2 Mg 4.39
Mg (0.5000, 0.5000, 0.0000)  4 Rb 4.14, 2 Mg 4.39

Values from the calculation:
- spin magnetization (Bohr magnetons per cell) = 0.00
- crystal system = tetragonal
- space group = P4/mbm
- DOS(E_F) (states/eV per cell) = 8.8
- E above lowest polymorph (meV per atom) = 119.7

Below is a relaxed structure of TaMnOs2, with properties calculated at the PBE-GGA level.

abc: 4.8723 4.8723 4.6100
angles: 102.44 102.44 34.23
With the nearest neighbours (Å) after each atom.
Sites, in units of the cell vectors:
Ta (0.0000, 0.0000, 0.0000)  7 Os 2.70-2.92, 3 Mn 2.72-2.80, 2 Ta 2.87
Mn (0.7577, 0.7577, 0.2362)  7 Os 2.61-2.91, 3 Ta 2.72-2.80, 2 Mn 2.87
Os (0.2452, 0.2452, 0.7030)  4 Mn 2.61-2.82, 5 Os 2.65-2.87, 3 Ta 2.85-2.92
Os (0.5032, 0.5032, 0.5058)  5 Os 2.65-2.87, 4 Ta 2.70-2.73, 3 Mn 2.75-2.91

Values from the calculation:
- spin magnetization (Bohr magnetons per cell) = 2.43
- crystal system = monoclinic
- space group = Cm
- DOS(E_F) (states/eV per cell) = 3.2
- raw total energy (eV/atom) = -10.878

Below is a relaxed structure of Mn2FeTc, with properties calculated at the PBE-GGA level.

abc: 2.9850 3.9865 4.1122
angles: 90.00 90.00 90.00
With the nearest neighbours (Å) after each atom.
Sites, in units of the cell vectors:
Mn (0.0000, 0.0000, 0.0000)  4 Tc 2.49, 4 Mn 2.54
Mn (0.5000, 0.0000, 0.5000)  4 Fe 2.49, 4 Mn 2.54
Fe (0.0000, 0.5000, 0.5000)  4 Mn 2.49, 4 Tc 2.54
Tc (0.5000, 0.5000, 0.0000)  4 Mn 2.49, 4 Fe 2.54

Values from the calculation:
- spin magnetization (Bohr magnetons per cell) = 4.60
- crystal system = orthorhombic
- space group = Pmmm
- DOS(E_F) (states/eV per cell) = 4.4
- raw total energy (eV/atom) = -9.158

Below is a relaxed structure of Hg3TeW, with properties calculated at the PBE-GGA level.

abc: 5.3844 5.3844 5.3844
angles: 90.00 90.00 90.00
With the nearest neighbours (Å) after each atom.
Sites, in units of the cell vectors:
Hg (0.0000, 0.0000, 0.5000)  2 W 2.69
Hg (0.0000, 0.5000, 0.0000)  2 W 2.69
Hg (0.5000, 0.0000, 0.0000)  2 W 2.69
Te (0.5000, 0.5000, 0.5000)  12 Hg 3.81
W (0.0000, 0.0000, 0.0000)  6 Hg 2.69

Values from the calculation:
- formation energy (no corrections) (eV per atom) = 1.11
- spin magnetization (Bohr magnetons per cell) = 1.97
- crystal system = cubic
- space group = Pm-3m
- DOS(E_F) (states/eV per cell) = 8.6
- E above lowest polymorph (meV per atom) = 0.0

Below is a relaxed structure of Tl9In4Hg, with properties calculated at the PBE-GGA level.

abc: 9.6078 9.6078 10.7682
angles: 90.00 90.00 120.00
With the nearest neighbours (Å) after each atom.
Sites, in units of the cell vectors:
Tl (0.0670, 0.5335, 0.2500)  2 In 3.20, 1 Hg 3.33
Tl (0.2022, 0.4045, 0.5360)  1 Hg 3.17, 2 In 3.39-3.42, 2 Tl 3.45
Tl (0.2022, 0.4045, 0.9640)  1 Hg 3.17, 2 In 3.39-3.42, 2 Tl 3.45
Tl (0.2022, 0.7978, 0.5360)  1 Hg 3.17, 2 In 3.39-3.42, 2 Tl 3.45
Tl (0.2022, 0.7978, 0.9640)  1 Hg 3.17, 2 In 3.39-3.42, 2 Tl 3.45
Tl (0.4045, 0.2022, 0.0360)  1 Hg 3.17, 2 In 3.39-3.42, 2 Tl 3.45
Tl (0.4045, 0.2022, 0.4640)  1 Hg 3.17, 2 In 3.39-3.42, 2 Tl 3.45
Tl (0.4665, 0.5335, 0.2500)  2 In 3.20, 1 Hg 3.33
Tl (0.4665, 0.9330, 0.2500)  2 In 3.20, 1 Hg 3.33
Tl (0.5335, 0.0670, 0.7500)  2 In 3.20, 1 Hg 3.33
Tl (0.5335, 0.4665, 0.7500)  2 In 3.20, 1 Hg 3.33
Tl (0.5955, 0.7978, 0.5360)  1 Hg 3.17, 2 In 3.39-3.42, 2 Tl 3.45
Tl (0.5955, 0.7978, 0.9640)  1 Hg 3.17, 2 In 3.39-3.42, 2 Tl 3.45
Tl (0.7978, 0.2022, 0.0360)  1 Hg 3.17, 2 In 3.39-3.42, 2 Tl 3.45
Tl (0.7978, 0.2022, 0.4640)  1 Hg 3.17, 2 In 3.39-3.42, 2 Tl 3.45
Tl (0.7978, 0.5955, 0.0360)  1 Hg 3.17, 2 In 3.39-3.42, 2 Tl 3.45
Tl (0.7978, 0.5955, 0.4640)  1 Hg 3.17, 2 In 3.39-3.42, 2 Tl 3.45
Tl (0.9330, 0.4665, 0.7500)  2 In 3.20, 1 Hg 3.33
In (0.0000, 0.0000, 0.0000)  6 In 3.28, 6 Tl 3.39
In (0.0000, 0.0000, 0.5000)  6 In 3.28, 6 Tl 3.39
In (0.1125, 0.2251, 0.2500)  4 Tl 3.20-3.42, 4 In 3.24-3.28
In (0.1125, 0.8875, 0.2500)  4 Tl 3.20-3.42, 4 In 3.24-3.28
In (0.2251, 0.1125, 0.7500)  4 Tl 3.20-3.42, 4 In 3.24-3.28
In (0.7749, 0.8875, 0.2500)  4 Tl 3.20-3.42, 4 In 3.24-3.28
In (0.8875, 0.1125, 0.7500)  4 Tl 3.20-3.42, 4 In 3.24-3.28
In (0.8875, 0.7749, 0.7500)  4 Tl 3.20-3.42, 4 In 3.24-3.28
Hg (0.3333, 0.6667, 0.7500)  9 Tl 3.17-3.33
Hg (0.6667, 0.3333, 0.2500)  9 Tl 3.17-3.33

Values from the calculation:
- spin magnetization (Bohr magnetons per cell) = 0.00
- crystal system = hexagonal
- space group = P6_3/mmc
- DOS(E_F) (states/eV per cell) = 11.7
- raw total energy (eV/atom) = -2.292

Below is a relaxed structure of La6Hg5Ru, with properties calculated at the PBE-GGA level.

abc: 9.3795 9.3795 5.4200
angles: 106.77 106.77 119.27
With the nearest neighbours (Å) after each atom.
Sites, in units of the cell vectors:
La (0.0777, 0.3822, 0.7300)  1 Ru 3.05, 4 Hg 3.24-3.33
La (0.2237, 0.2237, 0.2240)  2 Ru 3.22, 6 Hg 3.46-3.51, 1 La 3.48
La (0.3822, 0.0777, 0.7300)  1 Ru 3.05, 4 Hg 3.24-3.33
La (0.6178, 0.9223, 0.2700)  1 Ru 3.05, 4 Hg 3.24-3.33
La (0.7763, 0.7763, 0.7760)  2 Ru 3.22, 6 Hg 3.46-3.51, 1 La 3.48
La (0.9223, 0.6178, 0.2700)  1 Ru 3.05, 4 Hg 3.24-3.33
Hg (0.1883, 0.8117, 0.0000)  8 La 3.30-3.51, 2 Hg 3.58
Hg (0.3326, 0.6674, 0.5000)  8 La 3.43-3.46, 4 Hg 3.58-3.83
Hg (0.5000, 0.5000, 0.0000)  8 La 3.24-3.46
Hg (0.6674, 0.3326, 0.5000)  8 La 3.43-3.46, 4 Hg 3.58-3.83
Hg (0.8117, 0.1883, 0.0000)  8 La 3.30-3.51, 2 Hg 3.58
Ru (0.0000, 0.0000, 0.5000)  8 La 3.05-3.22

Values from the calculation:
- spin magnetization (Bohr magnetons per cell) = 0.00
- crystal system = monoclinic
- space group = C2/m
- DOS(E_F) (states/eV per cell) = 11.3
- raw total energy (eV/atom) = -3.823

Below is a relaxed structure of MgFeRu, with properties calculated at the PBE-GGA level.

abc: 5.0519 5.0519 6.6725
angles: 109.37 109.37 33.88
With the nearest neighbours (Å) after each atom.
Sites, in units of the cell vectors:
Mg (0.0000, 0.0000, 0.0000)  4 Fe 2.75-3.03, 4 Ru 2.75-2.79, 5 Mg 2.92-2.96
Mg (0.6794, 0.6794, 0.7914)  4 Ru 2.76-3.01, 4 Fe 2.79-2.91, 5 Mg 2.92-2.96
Fe (0.3343, 0.3343, 0.1817)  2 Fe 2.42, 2 Ru 2.59
Fe (0.9976, 0.9976, 0.4458)  2 Fe 2.42, 4 Ru 2.56-2.57
Ru (0.3594, 0.3594, 0.6306)  2 Fe 2.57, 2 Ru 2.58, 4 Mg 2.76-2.79
Ru (0.6776, 0.6776, 0.3400)  4 Fe 2.56-2.59, 2 Ru 2.58, 2 Mg 2.75

Values from the calculation:
- spin magnetization (Bohr magnetons per cell) = 5.73
- crystal system = monoclinic
- space group = Cm
- DOS(E_F) (states/eV per cell) = 5.9
- E above lowest polymorph (meV per atom) = 78.2

Below is a relaxed structure of Na4Pr3HfS8, with properties calculated at the PBE-GGA level.

abc: 8.1891 8.1891 8.1891
angles: 59.01 59.01 59.01
With the nearest neighbours (Å) after each atom.
Sites, in units of the cell vectors:
Na (0.0000, 0.0000, 0.0000)  6 S 3.12
Na (0.0000, 0.5000, 0.5000)  6 S 2.90
Na (0.5000, 0.0000, 0.5000)  6 S 2.90
Na (0.5000, 0.5000, 0.0000)  6 S 2.90
Pr (0.0000, 0.0000, 0.5000)  6 S 2.85-2.87
Pr (0.0000, 0.5000, 0.0000)  6 S 2.85-2.87
Pr (0.5000, 0.0000, 0.0000)  6 S 2.85-2.87
Hf (0.5000, 0.5000, 0.5000)  6 S 2.62
S (0.2482, 0.2482, 0.2482)  3 Pr 2.85, 3 Na 2.90
S (0.2700, 0.7283, 0.7283)  1 Hf 2.62, 2 Pr 2.87, 2 Na 2.90
S (0.2717, 0.2717, 0.7300)  1 Hf 2.62, 2 Pr 2.87, 2 Na 2.90
S (0.2717, 0.7300, 0.2717)  1 Hf 2.62, 2 Pr 2.87, 2 Na 2.90
S (0.7283, 0.2700, 0.7283)  1 Hf 2.62, 2 Pr 2.87, 2 Na 2.90
S (0.7283, 0.7283, 0.2700)  1 Hf 2.62, 2 Pr 2.87, 2 Na 2.90
S (0.7300, 0.2717, 0.2717)  1 Hf 2.62, 2 Pr 2.87, 2 Na 2.90
S (0.7518, 0.7518, 0.7518)  3 Pr 2.85, 3 Na 2.90

Values from the calculation:
- formation energy (no corrections) (eV per atom) = -1.67
- spin magnetization (Bohr magnetons per cell) = 0.00
- crystal system = trigonal
- space group = R-3m
- DOS(E_F) (states/eV per cell) = 3.8

Below is a relaxed structure of NpTcP2Ru, with properties calculated at the PBE-GGA level.

abc: 5.6115 5.6115 5.6115
angles: 137.24 137.24 62.07
With the nearest neighbours (Å) after each atom.
Sites, in units of the cell vectors:
Np (0.0000, 0.0000, 0.0000)  8 P 3.14, 4 Tc 3.16, 4 Ru 3.16
Tc (0.7500, 0.2500, 0.5000)  4 P 2.37
P (0.3736, 0.3736, 0.0000)  2 Tc 2.37, 2 Ru 2.37, 1 P 2.43
P (0.6264, 0.6264, 0.0000)  2 Tc 2.37, 2 Ru 2.37, 1 P 2.43
Ru (0.2500, 0.7500, 0.5000)  4 P 2.37

Values from the calculation:
- spin magnetization (Bohr magnetons per cell) = 3.59
- crystal system = tetragonal
- space group = I-4m2
- DOS(E_F) (states/eV per cell) = 13.5
- raw total energy (eV/atom) = -9.351

The highest spin magnetization belongs to which entry?
MgFeRu